Crystalline Ca2CrSb at its relaxed geometry. Source: Alexandria via LeMat-Bulk, functional PBE.

Output
The total magnetization comes out at 4.63 μB/f.u. The density of states at the Fermi level is 2.42 states/eV/cell. The formation energy (no corrections) is -0.51 eV per formula unit.

Unit cell a=6.9674 b=6.9674 c=6.9674 alpha=39.55 beta=39.55 gamma=39.55
With the nearest neighbours (Å) after each atom.
Atoms (fractional coordinates):
1 Ca 0.0000 0.0000 0.0000  3 Sb 3.19, 3 Cr 3.52
2 Ca 0.1977 0.1977 0.1977  3 Cr 3.14, 3 Sb 3.47
3 Cr 0.7831 0.7831 0.7831  3 Sb 2.78
4 Sb 0.4193 0.4193 0.4193  3 Cr 2.78